Material: Pm3Sm4Ge4
Method: DFT, GGA-PBE
State: optimized geometry

Summary:
The energy relative to the elements is -617.0 meV per atom. Its uncorrected energy is -5.3078 eV per atom. As for the calculated density: 7.35 g/cm³. For the magnetic moment, the calculation gives 0.00 μB per formula unit.

Cell lengths 3.9780, 8.7472, 9.8664 Å; angles 116.31, 101.63, 90.00 degrees
Atoms (fractional coordinates):
Pm: 0.9038 0.9038 0.8075
Pm: 0.0000 0.5000 0.0000
Pm: 0.0962 0.0962 0.1925
Ge: 0.5000 0.2249 0.0000
Ge: 0.5000 0.7751 0.0000
Ge: 0.2718 0.7718 0.5436
Ge: 0.7282 0.2282 0.4564
Sm: 0.6711 0.4926 0.3422
Sm: 0.3289 0.5074 0.6578
Sm: 0.6711 0.8496 0.3422
Sm: 0.3289 0.1504 0.6578